Record 1
A relaxed CrRe2Cl crystal, computed with PBE.

The structure in POSCAR format:
```
CrRe2Cl
1.0
2.918 0.000 0.000
0.000 3.793 0.000
-1.102 0.000 6.334
Cr Re Cl
1 2 1
Cartesian
0.000 0.000 0.000
-0.026 0.000 2.248
1.321 1.897 1.076
-0.223 1.897 4.986
```

Crystal system: monoclinic
Formation energy from raw total energies in eV per atom: 0.5750
Space group: Pm
Relative energy among the computed polymorphs in kJ/mol of formula units: 120

***

Record 2
A relaxed YbBr crystal, computed with PBE.

The structure in POSCAR format:
```
YbBr
1.0
3.820 0.000 0.000
-1.910 3.308 0.000
0.000 0.000 4.431
Yb Br
1 1
Cartesian
0.000 0.000 0.000
0.000 2.205 2.216
```

Crystal system: hexagonal
Formation energy from raw total energies in eV per atom: -1.2063
Space group: P-6m2

***

Record 3
A relaxed PmPr2Nd2Dy2 crystal, computed with PBE.

The structure in POSCAR format:
```
PmPr2Nd2Dy2
1.0
5.765 -2.578 0.000
5.765 2.578 0.000
-1.152 0.000 8.084
Pm Pr Nd Dy
1 2 2 2
Cartesian
0.000 0.000 0.000
1.160 0.000 3.461
9.219 0.000 4.623
4.620 0.000 2.274
5.760 0.000 5.810
2.295 0.000 6.951
8.084 0.000 1.133
```

Crystal system: monoclinic
Formation energy in meV/atom: 16
Space group: C2/m

***

Record 4
A relaxed MgAs2C crystal, computed with PBE.

The structure in POSCAR format:
```
MgAs2C
1.0
0.000 3.203 3.203
3.203 0.000 3.203
3.203 3.203 0.000
Mg As C
1 2 1
Cartesian
0.000 0.000 0.000
1.601 1.601 1.601
4.804 4.804 4.804
3.203 3.203 3.203
```

Crystal system: cubic
Formation energy in meV/atom: 1282
Space group: Fm-3m
Relative energy among the computed polymorphs in kJ/mol of formula units: 354

***

Number 1: total magnetization 0.081 μB/f.u.. Number 2: total magnetization 0.474 μB/f.u.. Number 3: total magnetization 0.000 μB/f.u.. Number 4: total magnetization 0.000 μB/f.u..